Computed, not measured: Sr3WO after structural relaxation at the PBE with a Hubbard U level of DFT.

Unit cell a=5.2627 b=5.2627 c=5.2627 alpha=90.00 beta=90.00 gamma=90.00
Each line ends with the local moment (μB).
Atoms (fractional coordinates):
Sr: 0.0000 0.5000 0.0000  0.01
Sr: 0.0000 0.0000 0.5000  0.02
Sr: 0.5000 0.0000 0.0000  0.02
O: 0.0000 0.0000 0.0000  0.02
W: 0.5000 0.5000 0.5000  3.48

Output
The crystal system is cubic. The energy above the most stable polymorph in this dataset is 0.0 meV/atom. As for the total energy: -20.0 eV per formula unit.